Computed, not measured: an optimized crystal structure of TmThSc2Au4 at the PBE-GGA level of DFT.

```
TmThSc2Au4
1.0
4.815 0.000 0.000
2.407 4.170 0.000
2.407 1.390 8.954
Au Th Tm Sc
4 1 1 2
direct
0.610 0.610 0.171
0.390 0.390 0.829
0.118 0.118 0.647
0.882 0.882 0.353
0.000 0.000 0.000
0.500 0.500 0.500
0.755 0.755 0.735
0.245 0.245 0.265
```

Output
The total magnetization comes out at 0.00 μB per atom. Its uncorrected energy is -43.6 eV per cell. The energy of formation from the pure elements comes out at -0.740 eV per atom.